# Li3CaO GGA-PBE optimized geometry
data_Li3CaO
_symmetry_space_group_name_H-M 'P 1'
_symmetry_Int_Tables_number 1
_cell_length_a 4.382
_cell_length_b 4.382
_cell_length_c 4.382
_cell_angle_alpha 90.00
_cell_angle_beta 90.00
_cell_angle_gamma 90.00
loop_
_symmetry_equiv_pos_as_xyz
'x,y,z'
loop_
_atom_site_label
_atom_site_fract_x
_atom_site_fract_y
_atom_site_fract_z
_atom_site_occupancy
Ca1 0.500 0.500 0.500 1
O1 0.000 0.000 0.000 1
Li1 0.000 0.500 0.000 1
Li2 0.000 0.000 0.500 1
Li3 0.500 0.000 0.000 1
# Energy relative to the elements, uncorrected in eV per atom: -0.58
# E above lowest polymorph in meV/atom: 0